MgTi2Pb4WO12 (PBEsol, optimized geometry); electronic total energy = -153.324 eV per cell; crystal system = tetragonal; spin magnetization = 0.00 μB/f.u.
1.0
-2.792 2.792 7.935
2.792 -2.792 7.935
2.792 2.792 -7.935
Mg Ti Pb W O
1 2 4 1 12
Direct
0.000 0.000 0.000
0.244 0.244 0.000
0.756 0.756 0.000
0.127 0.627 0.500
0.373 0.873 0.500
0.627 0.127 0.500
0.873 0.373 0.500
0.500 0.500 0.000
0.000 0.000 0.500
0.000 0.500 0.000
0.129 0.129 0.000
0.258 0.258 0.517
0.258 0.742 0.000
0.377 0.377 0.000
0.500 0.000 0.000
0.500 0.500 0.500
0.623 0.623 0.000
0.742 0.258 0.000
0.742 0.742 0.483
0.871 0.871 0.000

***

MgTi3Pb5WO15 (PBEsol, optimized geometry); electronic total energy = -385.973 eV per cell; crystal system = tetragonal; spin magnetization = 0.00 μB/f.u.
1.0
5.575 0.000 0.000
0.000 5.575 0.000
0.000 0.000 19.776
Mg Ti Pb W O
2 6 10 2 30
Direct
0.250 0.250 0.102
0.750 0.750 0.898
0.250 0.250 0.298
0.250 0.250 0.497
0.250 0.250 0.695
0.750 0.750 0.305
0.750 0.750 0.503
0.750 0.750 0.702
0.250 0.750 0.000
0.250 0.750 0.204
0.250 0.750 0.401
0.250 0.750 0.599
0.250 0.750 0.796
0.750 0.250 0.000
0.750 0.250 0.204
0.750 0.250 0.401
0.750 0.250 0.599
0.750 0.250 0.796
0.250 0.250 0.900
0.750 0.750 0.100
0.000 0.000 0.500
0.000 0.500 0.500
0.001 0.001 0.699
0.001 0.499 0.699
0.008 0.008 0.899
0.008 0.492 0.899
0.250 0.250 0.205
0.250 0.250 0.402
0.250 0.250 0.599
0.250 0.250 0.800
0.250 0.250 0.997
0.492 0.008 0.899
0.492 0.492 0.899
0.499 0.001 0.699
0.499 0.499 0.699
0.500 0.000 0.500
0.500 0.500 0.500
0.501 0.501 0.301
0.501 0.999 0.301
0.508 0.508 0.101
0.508 0.992 0.101
0.750 0.750 0.003
0.750 0.750 0.200
0.750 0.750 0.401
0.750 0.750 0.598
0.750 0.750 0.795
0.992 0.508 0.101
0.992 0.992 0.101
0.999 0.501 0.301
0.999 0.999 0.301

***

MgPd3O (PBEsol, optimized geometry); electronic total energy = -26.296 eV per cell; crystal system = cubic; spin magnetization = 0.00 μB/f.u.
1.0
4.161 0.000 0.000
0.000 4.161 0.000
0.000 0.000 4.161
Mg Pd O
1 3 1
Direct
0.000 0.000 0.000
0.000 0.500 0.500
0.500 0.000 0.500
0.500 0.500 0.000
0.500 0.500 0.500

***

Pr2MgPtO6 (PBEsol, optimized geometry); electronic total energy = -150.732 eV per cell; crystal system = monoclinic; spin magnetization = 0.00 μB/f.u.
1.0
5.474 0.000 0.000
0.000 5.686 0.000
-5.452 0.000 7.832
Pr Mg Pt O
4 2 2 12
Direct
0.235 0.058 0.250
0.235 0.442 0.750
0.765 0.558 0.250
0.765 0.942 0.750
0.500 0.000 0.000
0.500 0.500 0.500
0.000 0.000 0.500
0.000 0.500 0.000
0.150 0.208 0.951
0.150 0.292 0.451
0.247 0.703 0.952
0.247 0.797 0.452
0.340 0.025 0.748
0.340 0.475 0.248
0.660 0.525 0.752
0.660 0.975 0.252
0.753 0.203 0.548
0.753 0.297 0.048
0.850 0.708 0.549
0.850 0.792 0.049

***

Sr3MgPtO6 (PBEsol, optimized geometry); electronic total energy = -142.239 eV per cell; crystal system = trigonal; spin magnetization = 0.00 μB/f.u.
1.0
4.791 2.766 3.705
-4.791 2.766 3.705
0.000 -5.533 3.705
Sr Mg Pt O
6 2 2 12
Direct
0.115 0.750 0.385
0.250 0.615 0.885
0.385 0.115 0.750
0.615 0.885 0.250
0.750 0.385 0.115
0.885 0.250 0.615
0.250 0.250 0.250
0.750 0.750 0.750
0.000 0.000 0.000
0.500 0.500 0.500
0.037 0.905 0.711
0.095 0.289 0.963
0.211 0.405 0.537
0.289 0.963 0.095
0.405 0.537 0.211
0.463 0.789 0.595
0.537 0.211 0.405
0.595 0.463 0.789
0.711 0.037 0.905
0.789 0.595 0.463
0.905 0.711 0.037
0.963 0.095 0.289

***

Rb2MgO2 (PBEsol, optimized geometry); crystal system = monoclinic; offset from the most stable computed form = 40 meV/atom; spin magnetization = 0.06 μB/f.u.
1.0
9.704 0.000 0.000
0.000 6.384 0.000
-7.952 0.000 13.767
Rb Mg O
16 8 16
Direct
0.072 0.062 0.124
0.072 0.438 0.624
0.183 0.579 0.265
0.183 0.921 0.765
0.349 0.662 0.534
0.349 0.838 0.034
0.420 0.120 0.669
0.420 0.380 0.169
0.580 0.620 0.831
0.580 0.880 0.331
0.651 0.162 0.966
0.651 0.338 0.466
0.817 0.079 0.235
0.817 0.421 0.735
0.928 0.562 0.376
0.928 0.938 0.876
0.087 0.047 0.460
0.087 0.453 0.960
0.260 0.122 0.376
0.260 0.378 0.876
0.740 0.622 0.124
0.740 0.878 0.624
0.913 0.547 0.040
0.913 0.953 0.540
0.116 0.605 0.858
0.116 0.895 0.358
0.132 0.630 0.075
0.132 0.870 0.575
0.242 0.228 0.977
0.242 0.272 0.477
0.360 0.191 0.305
0.360 0.309 0.805
0.640 0.691 0.195
0.640 0.809 0.695
0.758 0.728 0.523
0.758 0.772 0.023
0.868 0.130 0.425
0.868 0.370 0.925
0.884 0.105 0.642
0.884 0.395 0.142

***

Rb2MgO2 (PBEsol, optimized geometry); crystal system = orthorhombic; offset from the most stable computed form = 0 meV/atom; spin magnetization = 0.00 μB/f.u.
1.0
-3.128 5.434 2.754
3.128 -5.434 2.754
3.128 5.434 -2.754
Rb Mg O
4 2 4
Direct
0.155 0.137 0.292
0.345 0.637 0.982
0.655 0.363 0.018
0.845 0.863 0.708
0.250 0.750 0.500
0.750 0.250 0.500
0.092 0.673 0.764
0.408 0.173 0.581
0.592 0.827 0.419
0.908 0.327 0.236

***

RbMgO3 (PBEsol, optimized geometry); electronic total energy = -16.286 eV per cell; crystal system = cubic; spin magnetization = 0.31 μB/f.u.
1.0
4.254 0.000 0.000
0.000 4.254 0.000
0.000 0.000 4.254
Rb Mg O
1 1 3
Direct
0.000 0.000 0.000
0.500 0.500 0.500
0.000 0.000 0.500
0.000 0.500 0.000
0.500 0.000 0.000

***

MgRe3O (PBEsol, optimized geometry); electronic total energy = -29.122 eV per cell; crystal system = cubic; spin magnetization = 2.87 μB/f.u.
1.0
4.453 0.000 0.000
0.000 4.453 0.000
0.000 0.000 4.453
Mg Re O
1 3 1
Direct
0.000 0.000 0.000
0.000 0.000 0.500
0.000 0.500 0.000
0.500 0.000 0.000
0.500 0.500 0.500

***

MgRh2O4 (PBEsol, optimized geometry); electronic total energy = -95.961 eV per cell; crystal system = cubic; spin magnetization = 0.00 μB/f.u.
1.0
0.000 4.264 4.264
4.264 0.000 4.264
4.264 4.264 0.000
Mg Rh O
2 4 8
Direct
0.125 0.125 0.125
0.875 0.875 0.875
0.000 0.500 0.500
0.500 0.000 0.500
0.500 0.500 0.000
0.500 0.500 0.500
0.261 0.261 0.261
0.261 0.261 0.717
0.261 0.717 0.261
0.283 0.739 0.739
0.717 0.261 0.261
0.739 0.283 0.739
0.739 0.739 0.283
0.739 0.739 0.739

***

Sr3MgRhO6 (PBEsol, optimized geometry); electronic total energy = -145.094 eV per cell; crystal system = trigonal; spin magnetization = 1.05 μB/f.u.
1.0
4.790 2.765 3.659
-4.790 2.765 3.659
0.000 -5.531 3.659
Sr Mg Rh O
6 2 2 12
Direct
0.116 0.750 0.384
0.250 0.616 0.884
0.384 0.116 0.750
0.616 0.884 0.250
0.750 0.384 0.116
0.884 0.250 0.616
0.250 0.250 0.250
0.750 0.750 0.750
0.000 0.000 0.000
0.500 0.500 0.500
0.038 0.907 0.714
0.093 0.286 0.962
0.214 0.407 0.538
0.286 0.962 0.093
0.407 0.538 0.214
0.462 0.786 0.593
0.538 0.214 0.407
0.593 0.462 0.786
0.714 0.038 0.907
0.786 0.593 0.462
0.907 0.714 0.038
0.962 0.093 0.286

***

MgRu2O (PBEsol, optimized geometry); electronic total energy = -23.649 eV per cell; crystal system = cubic; spin magnetization = 0.00 μB/f.u.
1.0
0.000 2.927 2.927
2.927 0.000 2.927
2.927 2.927 0.000
Mg Ru O
1 2 1
Direct
0.000 0.000 0.000
0.250 0.250 0.250
0.750 0.750 0.750
0.500 0.500 0.500